# 1
A plane-wave DFT calculation with GGA-PBE was carried out for a relaxed structure of Bi4Se4Cl3. Values from VASP.

Computed properties:
electronic total energy: -3.54 eV per atom
ρ: 6.974 Mg/m³
M_tot: 0.00 Bohr magnetons per cell

```
&SYSTEM
  ibrav = 0, nat = 11, ntyp = 3
/
ATOMIC_SPECIES
Se 78.96 Se.upf
Bi 208.98 Bi.upf
Cl 35.45 Cl.upf
CELL_PARAMETERS angstrom
-1.3246 -0.0604 -3.6754
5.8297 -6.6464 -1.9919
-8.0604 -2.3964 5.0212
ATOMIC_POSITIONS crystal
Se 0.3350 0.1378 0.6700
Bi 0.2337 0.7337 0.4674
Cl 0.0000 0.5000 0.0000
Bi 0.5000 0.7662 0.0000
Cl 0.0941 0.0941 0.1882
Cl 0.9059 0.9059 0.8118
Bi 0.5000 0.2338 0.0000
Se 0.6650 0.4678 0.3300
Se 0.6650 0.8622 0.3300
Se 0.3350 0.5322 0.6700
Bi 0.7663 0.2663 0.5326
```

# 2
A plane-wave DFT calculation with GGA-PBE was carried out for a relaxed structure of MnCrAg2Hg. Values from VASP.

Computed properties:
electronic total energy: -3.16 eV per atom
energy of formation: 174 kJ per mole of atoms
ρ: 7.669 Mg/m³
M_tot: 1.00 Bohr magnetons per cell

```
&SYSTEM
  ibrav = 0, nat = 5, ntyp = 4
/
ATOMIC_SPECIES
Cr 52.00 Cr.upf
Ag 107.87 Ag.upf
Mn 54.94 Mn.upf
Hg 200.59 Hg.upf
CELL_PARAMETERS angstrom
-3.5507 -1.8363 -2.6531
3.0570 -3.4676 -1.6911
-1.2382 -2.8676 3.6417
ATOMIC_POSITIONS crystal
Cr 0.5000 0.5000 0.5000
Ag 0.5000 0.0000 0.0000
Mn 0.0000 0.0000 0.0000
Ag 0.0000 0.0000 0.5000
Hg 0.0000 0.5000 0.0000
```

# 3
A plane-wave DFT calculation with GGA-PBE was carried out for a relaxed structure of K2In4Sn3Bi. Values from VASP.

Computed properties:
electronic total energy: -3.06 eV per atom
energy of formation: -15 kJ per mole of atoms
ρ: 5.502 Mg/m³
M_tot: 0.00 Bohr magnetons per cell

```
&SYSTEM
  ibrav = 0, nat = 10, ntyp = 4
/
ATOMIC_SPECIES
In 114.82 In.upf
Sn 118.71 Sn.upf
Bi 208.98 Bi.upf
K 39.10 K.upf
CELL_PARAMETERS angstrom
5.3003 0.0000 0.0000
0.0000 5.3003 0.0000
0.0000 0.0000 11.8455
ATOMIC_POSITIONS crystal
In 0.5000 0.5000 0.0000
In 0.0000 0.5000 0.3677
Sn 0.0000 0.0000 0.5000
In 0.0000 0.0000 0.0000
Bi 0.5000 0.5000 0.5000
In 0.5000 0.0000 0.6323
Sn 0.0000 0.5000 0.1243
Sn 0.5000 0.0000 0.8757
K 0.5000 0.0000 0.2495
K 0.0000 0.5000 0.7505
```

# 4
A plane-wave DFT calculation with GGA-PBE was carried out for a relaxed structure of NbAg2PbW. Values from VASP.

Computed properties:
electronic total energy: -4.36 eV per atom
energy of formation: 205 kJ per mole of atoms
ρ: 8.412 Mg/m³
M_tot: 2.60 Bohr magnetons per cell

```
&SYSTEM
  ibrav = 0, nat = 5, ntyp = 4
/
ATOMIC_SPECIES
W 183.84 W.upf
Pb 207.20 Pb.upf
Ag 107.87 Ag.upf
Nb 92.91 Nb.upf
CELL_PARAMETERS angstrom
-0.8580 0.9688 4.9143
-0.2304 -5.2498 0.9947
5.0041 -0.0521 0.8840
ATOMIC_POSITIONS crystal
W 0.5000 0.5000 0.5000
Pb 0.0000 0.5000 0.0000
Ag 0.0000 0.0000 0.5000
Ag 0.5000 0.0000 0.0000
Nb 0.0000 0.0000 0.0000
```

# 5
A plane-wave DFT calculation with GGA-PBE was carried out for a relaxed structure of LaYHo2P4. Values from VASP.

Computed properties:
electronic total energy: -6.86 eV per atom
energy of formation: -153 kJ per mole of atoms
ρ: 5.942 Mg/m³
M_tot: 0.00 Bohr magnetons per cell

```
&SYSTEM
  ibrav = 0, nat = 8, ntyp = 4
/
ATOMIC_SPECIES
Ho 164.93 Ho.upf
P 30.97 P.upf
La 138.91 La.upf
Y 88.91 Y.upf
CELL_PARAMETERS angstrom
4.0697 0.0000 0.0000
0.0000 7.0430 0.1261
0.0000 -2.4609 6.6009
ATOMIC_POSITIONS crystal
Ho 0.5000 0.0000 0.5000
Ho 0.0000 0.5000 0.5000
P 0.5000 0.2464 0.2561
P 0.0000 0.7595 0.2609
La 0.5000 0.5000 0.0000
P 0.0000 0.2405 0.7391
P 0.5000 0.7536 0.7439
Y 0.0000 0.0000 0.0000
```

# 6
A plane-wave DFT calculation with GGA-PBE was carried out for a relaxed structure of LaZrTe2I. Values from VASP.

Computed properties:
electronic total energy: -4.87 eV per atom
ρ: 5.804 Mg/m³
M_tot: 0.46 Bohr magnetons per cell

```
&SYSTEM
  ibrav = 0, nat = 5, ntyp = 4
/
ATOMIC_SPECIES
Zr 91.22 Zr.upf
Te 127.60 Te.upf
La 138.91 La.upf
I 126.90 I.upf
CELL_PARAMETERS angstrom
5.6255 0.0000 0.0000
0.0000 5.6255 0.0000
0.0000 0.0000 5.5347
ATOMIC_POSITIONS crystal
Zr 0.0000 0.0000 0.0000
Te 0.5000 0.0000 0.0000
Te 0.0000 0.5000 0.0000
La 0.5000 0.5000 0.5000
I 0.0000 0.0000 0.5000
```

# 7
A plane-wave DFT calculation with GGA-PBE was carried out for a relaxed structure of CsSn2Au3. Values from VASP.

Computed properties:
electronic total energy: -3.20 eV per atom
energy of formation: -9 kJ per mole of atoms
ρ: 8.498 Mg/m³
M_tot: 0.00 Bohr magnetons per cell

```
&SYSTEM
  ibrav = 0, nat = 12, ntyp = 3
/
ATOMIC_SPECIES
Au 196.97 Au.upf
Sn 118.71 Sn.upf
Cs 132.91 Cs.upf
CELL_PARAMETERS angstrom
7.4708 -2.2508 -1.7257
-3.8160 8.6149 -2.2546
0.0191 -1.0127 7.1542
ATOMIC_POSITIONS crystal
Au 0.2203 0.4703 0.4406
Sn 0.5610 0.5980 0.3024
Cs 0.0000 0.0000 0.0000
Sn 0.2586 0.7956 0.6976
Cs 0.0000 0.5000 0.0000
Au 0.7797 0.5297 0.5594
Au 0.4716 0.7216 0.9433
Au 0.7113 0.9613 0.4225
Sn 0.4390 0.4020 0.6976
Sn 0.7414 0.2044 0.3024
Au 0.5284 0.2784 0.0567
Au 0.2887 0.0387 0.5775
```

# 8
A plane-wave DFT calculation with GGA-PBE was carried out for a relaxed structure of Ni12H5Pt3. Values from VASP.

Computed properties:
electronic total energy: -5.02 eV per atom
ρ: 10.373 Mg/m³
M_tot: 0.01 Bohr magnetons per cell

```
&SYSTEM
  ibrav = 0, nat = 80, ntyp = 3
/
ATOMIC_SPECIES
Ni 58.69 Ni.upf
H 1.01 H.upf
Pt 195.08 Pt.upf
CELL_PARAMETERS angstrom
-5.8622 -3.6948 -7.5528
9.7324 -2.8262 -1.5346
-3.2595 -3.7102 8.9817
ATOMIC_POSITIONS crystal
Ni 0.5961 0.6874 0.6911
Ni 0.1874 0.6911 0.0961
Ni 0.0950 0.9039 0.0914
Ni 0.5914 0.9963 0.1874
Ni 0.5914 0.5950 0.9039
H 0.5000 0.5000 0.0000
Ni 0.1911 0.0961 0.6874
Ni 0.5037 0.8126 0.9086
H 0.8750 0.6250 0.7500
Pt 0.7500 0.3750 0.1250
H 0.0000 0.5000 0.0000
Ni 0.9963 0.4050 0.8089
Ni 0.0961 0.1911 0.1874
Ni 0.9039 0.0950 0.5914
Ni 0.8126 0.5037 0.4086
Ni 0.4050 0.9963 0.3089
Ni 0.3089 0.4963 0.4050
Ni 0.9086 0.5961 0.9050
Ni 0.9039 0.8089 0.8126
Ni 0.4050 0.4086 0.5961
Ni 0.6874 0.5961 0.1911
Ni 0.0037 0.5950 0.1911
H 0.2500 0.8750 0.1250
Pt 0.1250 0.2500 0.8750
Pt 0.3750 0.7500 0.6250
Pt 0.7500 0.8750 0.6250
Ni 0.1911 0.0950 0.0037
Ni 0.4086 0.4050 0.0961
H 0.1250 0.7500 0.3750
Pt 0.6250 0.2500 0.3750
H 0.2500 0.3750 0.6250
Ni 0.9086 0.3126 0.5037
Pt 0.8750 0.1250 0.2500
H 0.5000 0.0000 0.0000
Pt 0.6250 0.3750 0.7500
Ni 0.4963 0.3089 0.9050
H 0.0000 0.0000 0.0000
H 0.1250 0.3750 0.2500
Pt 0.2500 0.6250 0.8750
Ni 0.8126 0.3089 0.9039
H 0.6250 0.8750 0.2500
H 0.6250 0.7500 0.8750
H 0.7500 0.6250 0.3750
Ni 0.5950 0.5914 0.4039
Ni 0.4963 0.1874 0.0914
H 0.3750 0.1250 0.7500
Pt 0.1250 0.8750 0.7500
Ni 0.5950 0.0037 0.6911
Ni 0.9050 0.8089 0.4963
Pt 0.2500 0.1250 0.3750
Ni 0.0950 0.1911 0.5037
Ni 0.8089 0.9039 0.3126
Ni 0.4086 0.0037 0.8126
H 0.3750 0.2500 0.1250
H 0.5000 0.5000 0.5000
Ni 0.4039 0.3126 0.3089
H 0.5000 0.0000 0.5000
Pt 0.8750 0.7500 0.1250
Ni 0.6874 0.0914 0.9963
Ni 0.6911 0.5037 0.5950
Ni 0.0914 0.4039 0.0950
Ni 0.3126 0.9086 0.0037
Ni 0.3089 0.8126 0.4039
Ni 0.8089 0.9050 0.9963
Ni 0.0961 0.9050 0.4086
Ni 0.9050 0.0961 0.9086
H 0.7500 0.1250 0.8750
Ni 0.0914 0.6874 0.4963
Ni 0.5037 0.6911 0.0950
Ni 0.9963 0.5914 0.6874
Pt 0.3750 0.6250 0.2500
Ni 0.6911 0.1874 0.5961
Ni 0.4039 0.0914 0.5950
H 0.8750 0.2500 0.6250
Ni 0.3126 0.4039 0.8089
H 0.0000 0.5000 0.5000
Ni 0.0037 0.4086 0.3126
Ni 0.1874 0.4963 0.5914
Ni 0.5961 0.9086 0.4050
H 0.0000 0.0000 0.5000
```

# 9
A plane-wave DFT calculation with GGA-PBE was carried out for a relaxed structure of KBa2Sr. Values from VASP.

Computed properties:
electronic total energy: -1.58 eV per atom
E above lowest polymorph: 31 meV per atom
energy of formation: 7 kJ per mole of atoms
ρ: 2.607 Mg/m³
M_tot: 0.01 Bohr magnetons per cell

```
&SYSTEM
  ibrav = 0, nat = 4, ntyp = 3
/
ATOMIC_SPECIES
Sr 87.62 Sr.upf
K 39.10 K.upf
Ba 137.33 Ba.upf
CELL_PARAMETERS angstrom
-0.2506 -3.6719 -3.2992
2.3504 -2.9934 3.1536
-9.1895 -2.9827 4.0177
ATOMIC_POSITIONS crystal
Sr 0.5000 0.5000 0.2500
K 0.5000 0.5000 0.7500
Ba 0.0000 0.0000 0.0156
Ba 0.0000 0.0000 0.4844
```

# 10
A plane-wave DFT calculation with GGA-PBE was carried out for a relaxed structure of MgCdRe. Values from VASP.

Computed properties:
electronic total energy: -4.59 eV per atom
E above lowest polymorph: 0 meV per atom
energy of formation: 38 kJ per mole of atoms
ρ: 10.124 Mg/m³
M_tot: 0.00 Bohr magnetons per cell

```
&SYSTEM
  ibrav = 0, nat = 3, ntyp = 3
/
ATOMIC_SPECIES
Mg 24.30 Mg.upf
Cd 112.41 Cd.upf
Re 186.21 Re.upf
CELL_PARAMETERS angstrom
7.5544 -0.0153 0.0117
6.8679 2.6945 -0.0326
0.6865 -0.7580 2.6020
ATOMIC_POSITIONS crystal
Mg 0.3255 0.3255 0.6745
Cd 0.0030 0.0030 0.9970
Re 0.6715 0.6715 0.3285
```

# 11
A plane-wave DFT calculation with GGA-PBE was carried out for a relaxed structure of Ge2PbS. Values from VASP.

Computed properties:
electronic total energy: -3.88 eV per atom
E above lowest polymorph: 102 meV per atom
ρ: 7.331 Mg/m³
M_tot: 0.00 Bohr magnetons per cell

```
&SYSTEM
  ibrav = 0, nat = 4, ntyp = 3
/
ATOMIC_SPECIES
Ge 72.64 Ge.upf
Pb 207.20 Pb.upf
S 32.06 S.upf
CELL_PARAMETERS angstrom
1.7293 -4.6625 -0.1674
1.6956 -2.1747 4.1416
-2.5863 -3.6899 2.1101
ATOMIC_POSITIONS crystal
Ge 0.7500 0.7500 0.7500
Ge 0.2500 0.2500 0.2500
Pb 0.5000 0.5000 0.5000
S 0.0000 0.0000 0.0000
```

# 12
A plane-wave DFT calculation with GGA-PBE was carried out for a relaxed structure of AlZnH4O2F5. Values from VASP.

Computed properties:
electronic total energy: -5.02 eV per atom
ρ: 2.967 Mg/m³
M_tot: 0.00 Bohr magnetons per cell

```
&SYSTEM
  ibrav = 0, nat = 26, ntyp = 5
/
ATOMIC_SPECIES
F 19.00 F.upf
H 1.01 H.upf
Zn 65.41 Zn.upf
O 16.00 O.upf
Al 26.98 Al.upf
CELL_PARAMETERS angstrom
-6.0222 -2.6417 -2.9414
-1.5627 -4.3017 5.5634
0.9592 7.1371 0.1994
ATOMIC_POSITIONS crystal
F 0.3456 0.6826 0.7713
H 0.5166 0.5320 0.2319
Zn 0.0000 0.5000 0.5000
O 0.4301 0.6376 0.2075
O 0.5699 0.3624 0.7925
F 0.0887 0.3174 0.6630
H 0.4834 0.4680 0.7681
F 0.9113 0.6826 0.3370
Zn 0.5000 0.0000 0.5000
F 0.7500 0.9430 0.1930
H 0.8001 0.7848 0.7681
Al 0.5000 0.0000 0.0000
F 0.5887 0.9257 0.7713
H 0.6999 0.4680 0.9846
Al 0.0000 0.0000 0.5000
H 0.3001 0.5320 0.0154
H 0.0166 0.7848 0.9846
O 0.0699 0.2775 0.2075
F 0.6544 0.3174 0.2287
O 0.9301 0.7225 0.7925
F 0.8456 0.0743 0.6630
H 0.1999 0.2152 0.2319
F 0.1544 0.9257 0.3370
F 0.2500 0.0570 0.8070
H 0.9834 0.2152 0.0154
F 0.4113 0.0743 0.2287
```